Compound: Pm4Ga2H
Source: Alexandria via LeMat-Bulk
Functional: PBE
Structure: relaxed

POSCAR file:
```
Pm4Ga2H
1.0
4.6225 0.0000 0.0000
0.0000 4.6225 0.0000
2.3113 2.3113 8.1849
H Ga Pm
1 2 4
Direct
0.0000 0.0000 0.0000
0.6338 0.6338 0.7323
0.3662 0.3662 0.2677
0.8178 0.8178 0.3645
0.1822 0.1822 0.6355
0.0000 0.5000 0.0000
0.5000 0.0000 0.0000
```

* N(E_F): 6.04 states/eV per cell
* total magnetization: 0.0 μB per formula unit
* electronic total energy: -4.464 eV per atom